*one*
Y2FeBr after structural relaxation, computed with PBE.

Calculated values
space-group type	Imm2

a b c (Å): 8.211 8.211 8.211
angles (deg): 154.45 155.30 35.83
Last column: magnetic moment on the atom in μB.
Atoms (fractional coordinates):
Y1 0.778 0.278 0.500  -0.17
Y2 0.074 0.074 0.000  -0.19
Fe1 0.199 0.699 0.500  1.46
Br1 0.449 0.449 0.000  0.00



*two*
Y2FeBr after structural relaxation, computed with PBE.

Calculated values
space-group type	Pmmm

a b c (Å): 3.388 3.437 8.273
angles (deg): 90.04 90.00 90.00
Atoms (fractional coordinates):
Y1 0.000 0.250 0.946
Y2 0.000 0.250 0.554
Fe1 0.500 0.750 0.750
Br1 0.500 0.250 0.250



*three*
Y2FeBr after structural relaxation, computed with PBE.

Calculated values
space-group type	I-4m2

a b c (Å): 6.431 6.431 6.431
angles (deg): 143.20 143.20 53.03
Last column: magnetic moment on the atom in μB.
Atoms (fractional coordinates):
Br1 0.500 0.500 0.000  0.02
Fe1 0.750 0.250 0.500  2.33
Y1 0.000 0.000 0.000  -0.21
Y2 0.250 0.750 0.500  -0.34



*four*
Y2FeBr after structural relaxation, computed with PBE.

Calculated values
space-group type	I-42d

a b c (Å): 6.377 6.377 7.451
angles (deg): 64.66 64.66 90.00
Atoms (fractional coordinates):
Y1 0.555 0.125 0.250
Y2 0.875 0.805 0.750
Y3 0.195 0.625 0.250
Y4 0.375 0.445 0.750
Br1 0.000 0.000 0.000
Br2 0.750 0.250 0.500
Fe1 0.250 0.750 0.500
Fe2 0.500 0.500 0.000



Going by the energies, *two* is most stable and the next is 0.121 eV/atom up.